The following is a PBE-GGA calculation of a relaxed structure of GeMo, from Alexandria via LeMat-Bulk.

Cell: 9.334 9.334 3.106 Å, 90.00 90.00 120.00°
Element x y z (fractional)
Mo1 0.381 0.850 0.250
Mo2 0.850 0.469 0.750
Mo3 0.469 0.619 0.250
Mo4 0.531 0.381 0.750
Mo5 0.619 0.150 0.750
Mo6 0.150 0.531 0.250
Ge1 0.121 0.755 0.750
Ge2 0.879 0.245 0.250
Ge3 0.634 0.879 0.750
Ge4 0.366 0.121 0.250
Ge5 0.245 0.366 0.750
Ge6 0.755 0.634 0.250

Output
Formation energy in eV/atom: 0.23
Size of the total moment in μB/atom: 0.000
Crystal system: hexagonal